[1]
{
  "formula": "LiCeTm",
  "functional": "PBE-GGA",
  "state": "relaxed",
  "lattice_angstrom": [[-1.6651, 2.3973, -2.4575], [-3.0289, -2.3115, -0.2026], [-4.8464, 5.5851, 8.7321]],
  "species": ["Tm", "Tm", "Li", "Li", "Ce", "Ce"],
  "fractional_positions": [[0.0000, 0.5000, 0.7296], [0.5000, 0.0000, 0.2704], [0.0000, 0.5000, 0.4463], [0.5000, 0.0000, 0.5537], [0.5000, 0.5000, 0.0000], [0.0000, 0.0000, 0.0000]],
  "relative_energy_mev_per_atom": 263,
  "space_group": "P4/nmm (129)",
  "energy_ev_per_cell": -22.14,
  "rho_g_cm3": 6.30,
  "formation_enthalpy_0k_kj_per_mol_atoms": 40.2
}



[2]
{
  "formula": "YTaPd2Pb",
  "functional": "PBE-GGA",
  "state": "relaxed",
  "lattice_angstrom": [[4.8998, 0.0000, 0.0000], [0.0000, 5.3559, 0.0000], [0.0000, 0.0000, 4.8998]],
  "species": ["Pb", "Y", "Pd", "Pd", "Ta"],
  "fractional_positions": [[0.0000, 0.5000, 0.0000], [0.5000, 0.5000, 0.5000], [0.5000, 0.0000, 0.0000], [0.0000, 0.0000, 0.5000], [0.0000, 0.0000, 0.0000]],
  "space_group": "P4/mmm (123)",
  "energy_ev_per_cell": -30.72,
  "rho_g_cm3": 8.91,
  "formation_enthalpy_0k_kj_per_mol_atoms": 32.7
}



[3]
{
  "formula": "Sm3DySn2",
  "functional": "PBE-GGA",
  "state": "relaxed",
  "lattice_angstrom": [[4.5873, 0.0000, 0.0000], [0.0000, 4.5873, 0.0000], [0.0000, 0.0000, 8.6653]],
  "species": ["Sm", "Sm", "Sm", "Dy", "Sn", "Sn"],
  "fractional_positions": [[0.5000, 0.0000, 0.3486], [0.0000, 0.5000, 0.6514], [0.0000, 0.0000, 0.0000], [0.5000, 0.5000, 0.0000], [0.5000, 0.0000, 0.7215], [0.0000, 0.5000, 0.2785]],
  "relative_energy_mev_per_atom": 0,
  "space_group": "P-4m2 (115)",
  "energy_ev_per_cell": -30.25,
  "rho_g_cm3": 7.75,
  "formation_enthalpy_0k_kj_per_mol_atoms": -56.0
}



[4]
{
  "formula": "SrYP4",
  "functional": "PBE-GGA",
  "state": "relaxed",
  "lattice_angstrom": [[0.1427, 1.0355, 5.3913], [1.1130, 5.0697, 1.7938], [-3.9549, 3.0213, 2.3213]],
  "species": ["P", "P", "P", "P", "Sr", "Y"],
  "fractional_positions": [[0.3716, 0.3716, 0.8851], [0.3716, 0.8851, 0.3716], [0.3716, 0.3716, 0.3716], [0.8851, 0.3716, 0.3716], [0.7500, 0.7500, 0.7500], [0.0000, 0.0000, 0.0000]],
  "space_group": "F-43m (216)",
  "energy_ev_per_cell": -31.03,
  "rho_g_cm3": 4.26,
  "formation_enthalpy_0k_kj_per_mol_atoms": -20.0
}



[5]
{
  "formula": "TiSn3",
  "functional": "PBE-GGA",
  "state": "relaxed",
  "lattice_angstrom": [[-1.4051, -2.1503, -2.0247], [2.9362, -4.0530, 2.2667], [-4.5216, 2.3091, 3.3273]],
  "species": ["Sn", "Sn", "Sn", "Ti"],
  "fractional_positions": [[0.5000, 0.4621, 0.0000], [0.7260, 0.0735, 0.4520], [0.2740, 0.6215, 0.5480], [0.0000, 0.0096, 0.0000]],
  "space_group": "Imm2 (44)",
  "energy_ev_per_cell": -19.83,
  "rho_g_cm3": 7.23,
  "formation_enthalpy_0k_kj_per_mol_atoms": 1.8
}



[6]
{
  "formula": "Tb2Tm3Sc3",
  "functional": "PBE-GGA",
  "state": "relaxed",
  "lattice_angstrom": [[-2.1764, -3.2367, -2.8054], [3.5423, -3.2038, 0.9483], [-5.6727, -0.0382, 8.5591]],
  "species": ["Tm", "Tm", "Tm", "Sc", "Sc", "Sc", "Tb", "Tb"],
  "fractional_positions": [[0.5000, 0.0000, 0.0000], [0.3784, 0.3784, 0.7569], [0.6216, 0.6216, 0.2431], [0.0000, 0.5000, 0.0000], [0.1227, 0.1227, 0.2454], [0.8773, 0.8773, 0.7546], [0.2507, 0.7507, 0.5014], [0.7493, 0.2493, 0.4986]],
  "relative_energy_mev_per_atom": 22,
  "space_group": "Immm (71)",
  "energy_ev_per_cell": -41.27,
  "rho_g_cm3": 7.03,
  "formation_enthalpy_0k_kj_per_mol_atoms": 4.9
}



[7]
{
  "formula": "CaHoTlCl6",
  "functional": "PBE-GGA",
  "state": "relaxed",
  "lattice_angstrom": [[-1.9660, -4.3837, -5.2296], [6.2641, 3.3297, -0.3244], [5.9621, -10.5716, 6.6203]],
  "species": ["Ho", "Ho", "Cl", "Cl", "Cl", "Cl", "Cl", "Cl", "Cl", "Cl", "Cl", "Cl", "Cl", "Cl", "Tl", "Tl", "Ca", "Ca"],
  "fractional_positions": [[0.6667, 0.3333, 0.2500], [0.3333, 0.6667, 0.7500], [0.6339, 0.0120, 0.3589], [0.9880, 0.3661, 0.1411], [0.3781, 0.0120, 0.1411], [0.6339, 0.6219, 0.1411], [0.6219, 0.6339, 0.6411], [0.3661, 0.9880, 0.6411], [0.0120, 0.3781, 0.6411], [0.3781, 0.3661, 0.3589], [0.9880, 0.6219, 0.3589], [0.3661, 0.3781, 0.8589], [0.0120, 0.6339, 0.8589], [0.6219, 0.9880, 0.8589], [0.0000, 0.0000, 0.0000], [0.0000, 0.0000, 0.5000], [0.6667, 0.3333, 0.7500], [0.3333, 0.6667, 0.2500]],
  "space_group": "P-31c (163)",
  "energy_ev_per_cell": -77.35,
  "rho_g_cm3": 3.42,
  "raw_formation_energy_ev_per_atom": -2.07
}



[8]
{
  "formula": "Ca4Bi2P",
  "functional": "PBE-GGA",
  "state": "relaxed",
  "lattice_angstrom": [[6.8199, 0.0000, -0.3924], [0.0000, 6.9523, 0.0000], [-2.9402, 0.0000, 9.5432]],
  "species": ["Bi", "Bi", "Bi", "Bi", "Ca", "Ca", "Ca", "Ca", "Ca", "Ca", "Ca", "Ca", "P", "P"],
  "fractional_positions": [[0.3001, 0.2500, 0.9439], [0.6999, 0.7500, 0.0561], [0.7239, 0.7500, 0.5456], [0.2761, 0.2500, 0.4544], [0.5278, 0.0030, 0.7509], [0.1088, 0.7500, 0.4254], [0.5278, 0.4970, 0.7509], [0.4722, 0.5030, 0.2491], [0.0671, 0.7500, 0.8705], [0.9329, 0.2500, 0.1295], [0.8912, 0.2500, 0.5746], [0.4722, 0.9970, 0.2491], [0.1326, 0.7500, 0.1577], [0.8674, 0.2500, 0.8423]],
  "relative_energy_mev_per_atom": 109,
  "space_group": "P2_1/m (11)",
  "energy_ev_per_cell": -52.87,
  "rho_g_cm3": 4.55,
  "formation_enthalpy_0k_kj_per_mol_atoms": -72.5
}



[9]
{
  "formula": "TiGa2TcB",
  "functional": "PBE-GGA",
  "state": "relaxed",
  "lattice_angstrom": [[-3.4621, 2.6835, -2.0153], [-2.4057, -3.7973, -0.9236], [-2.2077, 0.3596, 4.2714]],
  "species": ["B", "Ga", "Ga", "Tc", "Ti"],
  "fractional_positions": [[0.5000, 0.5000, 0.5000], [0.5000, 0.0000, 0.0000], [0.0000, 0.0000, 0.5000], [0.0000, 0.0000, 0.0000], [0.0000, 0.5000, 0.0000]],
  "space_group": "P4/mmm (123)",
  "energy_ev_per_cell": -25.39,
  "rho_g_cm3": 4.61,
  "formation_enthalpy_0k_kj_per_mol_atoms": 108.0
}



[10]
{
  "formula": "CdTeCl2",
  "functional": "PBE-GGA",
  "state": "relaxed",
  "lattice_angstrom": [[5.1455, 0.0000, 0.0000], [2.5727, 4.4561, 0.0000], [2.5727, 1.4854, 4.2013]],
  "species": ["Cl", "Cl", "Te", "Cd"],
  "fractional_positions": [[0.0000, 0.0000, 0.0000], [0.2500, 0.2500, 0.2500], [0.7500, 0.7500, 0.7500], [0.5000, 0.5000, 0.5000]],
  "relative_energy_mev_per_atom": 538,
  "space_group": "F-43m (216)",
  "energy_ev_per_cell": -7.76,
  "rho_g_cm3": 5.36,
  "raw_formation_energy_ev_per_atom": 0.00
}



Number 3 is which compound?
Sm3DySn2



Number 2 is which compound?
YTaPd2Pb